No. 1
Compound: KLi2Cr
Source: the Alexandria database
Functional: PBE
Structure: optimized geometry

a b c (Å): 10.997 10.997 10.997
angles (deg): 17.94 17.94 17.94
Site moments in Bohr magnetons follow the coordinates.
Positions (direct):
Li1 0.983 0.983 0.983  -0.01
K1 0.750 0.750 0.750  -0.01
Li2 0.517 0.517 0.517  -0.01
Cr1 0.250 0.250 0.250  3.95

Properties
Formation enthalpy at 0 K: 0.65 eV per atom
ΔE to the lowest computed polymorph: 0.1064 eV per atom

No. 2
Compound: K2LiCr
Source: the Alexandria database
Functional: PBE
Structure: optimized geometry

a b c (Å): 3.952 3.945 10.253
angles (deg): 90.00 90.00 90.00
Site moments in Bohr magnetons follow the coordinates.
Positions (direct):
Cr1 0.500 0.500 0.673  4.13
K1 0.500 0.500 0.317  0.00
Li1 0.000 0.000 0.583  0.02
K2 0.000 0.000 0.927  0.01

Properties
Formation enthalpy at 0 K: 0.59 eV per atom
ΔE to the lowest computed polymorph: 0.0000 eV per atom

No. 3
Compound: KLi2Cr
Source: the Alexandria database
Functional: PBE
Structure: optimized geometry

a b c (Å): 5.473 5.473 5.473
angles (deg): 60.00 60.00 60.00
Site moments in Bohr magnetons follow the coordinates.
Positions (direct):
Li1 0.250 0.250 0.250  -0.01
Cr1 0.500 0.500 0.500  4.16
K1 0.750 0.750 0.750  0.02
Li2 0.000 0.000 0.000  -0.03

Properties
Formation enthalpy at 0 K: 0.69 eV per atom
ΔE to the lowest computed polymorph: 0.1490 eV per atom

No. 4
Compound: KLi2Cr
Source: the Alexandria database
Functional: PBE
Structure: optimized geometry

a b c (Å): 6.663 6.101 3.245
angles (deg): 80.76 78.87 119.65
Site moments in Bohr magnetons follow the coordinates.
Positions (direct):
Li1 0.000 0.000 0.000  -0.01
Li2 0.500 0.000 0.500  -0.01
K1 0.500 0.500 0.000  0.01
Cr1 0.000 0.500 0.500  4.08

Properties
Formation enthalpy at 0 K: 0.66 eV per atom
ΔE to the lowest computed polymorph: 0.1170 eV per atom

No. 5
Compound: K2LiCr
Source: the Alexandria database
Functional: PBE
Structure: optimized geometry

a b c (Å): 12.256 12.256 12.256
angles (deg): 18.22 18.22 18.22
Site moments in Bohr magnetons follow the coordinates.
Positions (direct):
Cr1 0.750 0.750 0.750  4.17
K1 0.004 0.004 0.004  0.01
K2 0.496 0.496 0.496  0.01
Li1 0.250 0.250 0.250  0.02

Properties
Formation enthalpy at 0 K: 0.78 eV per atom
ΔE to the lowest computed polymorph: 0.1923 eV per atom

No. 6
Compound: KLi2Cr
Source: the Alexandria database
Functional: PBE
Structure: optimized geometry

a b c (Å): 6.055 6.055 6.055
angles (deg): 134.05 134.05 67.01
Site moments in Bohr magnetons follow the coordinates.
Positions (direct):
Cr1 0.500 0.500 0.000  4.15
Li1 0.000 0.000 0.000  0.00
Li2 0.250 0.750 0.500  -0.01
K1 0.750 0.250 0.500  0.02

Properties
Formation enthalpy at 0 K: 0.67 eV per atom
ΔE to the lowest computed polymorph: 0.1320 eV per atom

No. 7
Compound: KLiCr
Source: the Alexandria database
Functional: PBE
Structure: optimized geometry

a b c (Å): 3.502 3.502 8.386
angles (deg): 90.00 90.00 120.00
Site moments in Bohr magnetons follow the coordinates.
Positions (direct):
K1 0.333 0.667 0.324  0.01
Cr1 0.000 0.000 0.964  4.05
Li1 0.667 0.333 0.712  0.01

Properties
Formation enthalpy at 0 K: 0.86 eV per atom
ΔE to the lowest computed polymorph: 0.1153 eV per atom

No. 8
Compound: K2LiCr
Source: the Alexandria database
Functional: PBE
Structure: optimized geometry

a b c (Å): 5.425 3.735 8.485
angles (deg): 65.32 90.00 90.00
Site moments in Bohr magnetons follow the coordinates.
Positions (direct):
K1 0.000 0.487 0.510  0.01
Cr1 0.500 0.750 0.750  4.18
Li1 0.500 0.250 0.250  -0.01
K2 0.000 0.013 0.990  0.01

Properties
Formation enthalpy at 0 K: 0.72 eV per atom
ΔE to the lowest computed polymorph: 0.1313 eV per atom

No. 9
Compound: KLiCr4
Source: the Alexandria database
Functional: PBE
Structure: optimized geometry

a b c (Å): 5.121 5.121 5.121
angles (deg): 60.00 60.00 60.00
Positions (direct):
Cr1 0.895 0.368 0.368
Cr2 0.368 0.368 0.895
Li1 0.000 0.000 0.000
Cr3 0.368 0.895 0.368
Cr4 0.368 0.368 0.368
K1 0.750 0.750 0.750

Properties
Formation enthalpy at 0 K: 1.29 eV per atom

No. 10
Compound: K2LiCr
Source: the Alexandria database
Functional: PBE
Structure: optimized geometry

a b c (Å): 9.690 9.690 7.666
angles (deg): 50.80 50.80 90.00
Site moments in Bohr magnetons follow the coordinates.
Positions (direct):
K1 0.875 0.874 0.750  0.01
K2 0.126 0.625 0.250  0.01
Cr1 0.750 0.250 0.500  4.23
Cr2 0.000 0.000 0.000  4.23
K3 0.624 0.125 0.250  0.01
Li1 0.500 0.500 0.000  0.00
Li2 0.250 0.750 0.500  0.00
K4 0.375 0.376 0.750  0.01

Properties
Formation enthalpy at 0 K: 0.78 eV per atom
ΔE to the lowest computed polymorph: 0.1870 eV per atom

No. 11
Compound: K2LiCr
Source: the Alexandria database
Functional: PBE
Structure: optimized geometry

a b c (Å): 7.492 7.492 7.492
angles (deg): 150.58 129.93 59.14
Site moments in Bohr magnetons follow the coordinates.
Positions (direct):
Li1 0.451 0.451 0.000  0.01
Cr1 0.288 0.788 0.500  4.16
K1 0.733 0.233 0.500  0.01
K2 0.029 0.029 0.000  0.00

Properties
Formation enthalpy at 0 K: 0.64 eV per atom
ΔE to the lowest computed polymorph: 0.0489 eV per atom

No. 12
Compound: KLi2Cr
Source: the Alexandria database
Functional: PBE
Structure: optimized geometry

a b c (Å): 3.346 4.008 8.459
angles (deg): 90.00 90.00 90.00
Site moments in Bohr magnetons follow the coordinates.
Positions (direct):
Cr1 0.000 0.000 0.418  4.06
Li1 0.500 0.500 0.267  0.01
K1 0.500 0.500 0.732  0.01
Li2 0.000 0.000 0.083  -0.01

Properties
Formation enthalpy at 0 K: 0.57 eV per atom
ΔE to the lowest computed polymorph: 0.0304 eV per atom